# SmPaRu2 GGA-PBE optimized geometry
data_SmPaRu2
_chemical_formula_sum 'Sm1 Pa1 Ru2'
_cell_length_a 3.442
_cell_length_b 3.442
_cell_length_c 7.064
_cell_angle_alpha 90.00
_cell_angle_beta 90.00
_cell_angle_gamma 90.00
_symmetry_space_group_name_H-M 'P 1'
_symmetry_Int_Tables_number 1
_symmetry_space_group_name_Hall 'P 1'
loop_
_atom_site_label
_atom_site_fract_x
_atom_site_fract_y
_atom_site_fract_z
Ru1 0.000 0.000 0.791
Ru2 0.000 0.000 0.209
Pa1 0.500 0.500 0.000
Sm1 0.500 0.500 0.500
# ρ (g/cm³): 11.6
# E (eV per atom): -8.613
# D(E_F) (states/eV/cell): 3.7

***

# Sm2Pa2Ru3 GGA-PBE optimized geometry
data_Sm2Pa2Ru3
_chemical_formula_sum 'Sm2 Pa2 Ru3'
_cell_length_a 4.059
_cell_length_b 6.158
_cell_length_c 7.076
_cell_angle_alpha 93.73
_cell_angle_beta 73.29
_cell_angle_gamma 90.00
_symmetry_space_group_name_H-M 'P 1'
_symmetry_Int_Tables_number 1
_symmetry_space_group_name_Hall 'P 1'
loop_
_atom_site_label
_atom_site_fract_x
_atom_site_fract_y
_atom_site_fract_z
Sm1 0.358 0.866 0.283
Sm2 0.642 0.134 0.717
Pa1 0.106 0.638 0.788
Pa2 0.894 0.362 0.212
Ru1 0.000 0.000 0.000
Ru2 0.275 0.345 0.450
Ru3 0.725 0.655 0.550
# ρ (g/cm³): 10.5
# E (eV per atom): -8.355
# D(E_F) (states/eV/cell): 6.0

***

# Sm3PaRu3 GGA-PBE optimized geometry
data_Sm3PaRu3
_chemical_formula_sum 'Sm6 Pa2 Ru6'
_cell_length_a 6.669
_cell_length_b 7.142
_cell_length_c 7.142
_cell_angle_alpha 81.04
_cell_angle_beta 84.51
_cell_angle_gamma 84.51
_symmetry_space_group_name_H-M 'P 1'
_symmetry_Int_Tables_number 1
_symmetry_space_group_name_Hall 'P 1'
loop_
_atom_site_label
_atom_site_fract_x
_atom_site_fract_y
_atom_site_fract_z
Sm1 0.535 0.311 0.311
Sm2 0.500 0.189 0.811
Sm3 0.500 0.811 0.189
Sm4 0.000 0.298 0.702
Sm5 0.000 0.702 0.298
Sm6 0.465 0.689 0.689
Pa1 0.084 0.203 0.203
Pa2 0.916 0.797 0.797
Ru1 0.804 0.068 0.068
Ru2 0.224 0.491 0.015
Ru3 0.224 0.015 0.491
Ru4 0.776 0.509 0.985
Ru5 0.776 0.985 0.509
Ru6 0.196 0.932 0.932
# ρ (g/cm³): 9.8
# E (eV per atom): -7.687
# D(E_F) (states/eV/cell): 11.0

***

# Sm5PaRu4 GGA-PBE optimized geometry
data_Sm5PaRu4
_chemical_formula_sum 'Sm5 Pa1 Ru4'
_cell_length_a 4.524
_cell_length_b 7.058
_cell_length_c 8.458
_cell_angle_alpha 104.80
_cell_angle_beta 105.51
_cell_angle_gamma 90.00
_symmetry_space_group_name_H-M 'P 1'
_symmetry_Int_Tables_number 1
_symmetry_space_group_name_Hall 'P 1'
loop_
_atom_site_label
_atom_site_fract_x
_atom_site_fract_y
_atom_site_fract_z
Sm1 0.170 0.044 0.339
Sm2 0.169 0.544 0.339
Sm3 0.831 0.456 0.661
Sm4 0.500 0.500 0.000
Sm5 0.830 0.956 0.661
Pa1 0.500 0.000 0.000
Ru1 0.644 0.273 0.288
Ru2 0.995 0.783 0.990
Ru3 0.356 0.727 0.712
Ru4 0.005 0.217 0.010
# ρ (g/cm³): 9.2
# E (eV per atom): -7.339
# D(E_F) (states/eV/cell): 6.3

***

| no. | energy relative to the elements (eV/atom) |
| --- | --- |
| 1 | -0.42 |
| 2 | -0.32 |
| 3 | -0.33 |
| 4 | -0.32 |